The following is a GGA-PBE calculation of a geometry-optimized Sm2EuEr structure, from Alexandria.

symmetry = R-3m
crystal system = trigonal
E_form = 0.570 eV/f.u.
electronic total energy = -5.9263 eV/atom
energy above the lowest structure with this stoichiometry = 99 meV/atom

a = 3.5703 Å, b = 3.5703 Å, c = 12.8262 Å
α = 82.00°, β = 82.00°, γ = 60.00°
Closest atoms and distances in Å follow each position.
Positions (direct):
Eu 0.0000 0.0000 0.0000  2 Sm 3.48, 6 Eu 3.57
Sm 0.9084 0.9084 0.2748  1 Eu 3.48, 3 Er 3.52, 6 Sm 3.57
Sm 0.0916 0.0916 0.7252  1 Eu 3.48, 3 Er 3.52, 6 Sm 3.57
Er 0.5000 0.5000 0.5000  6 Sm 3.52, 6 Er 3.57

=====

The following is a GGA-PBE calculation of a geometry-optimized RbYCo2Hg structure, from Alexandria.

symmetry = P4/mmm
crystal system = tetragonal
E_form = 6.230 eV/f.u.
electronic total energy = -3.1431 eV/atom

a = 5.0171 Å, b = 6.9873 Å, c = 5.0171 Å
α = 90.00°, β = 90.00°, γ = 90.00°
Closest atoms and distances in Å follow each position.
Positions (direct):
Co 0.0000 0.0000 0.5000  2 Y 2.51
Co 0.5000 0.0000 0.0000  2 Y 2.51
Y 0.0000 0.0000 0.0000  4 Co 2.51
Hg 0.5000 0.5000 0.5000  4 Rb 3.55
Rb 0.0000 0.5000 0.0000  2 Y 3.49, 4 Hg 3.55